3
Lattice="-1.5059 2.1937 4.3498 1.5059 -2.1937 4.3498 1.5059 2.1937 -4.3498" Properties=species:S:1:pos:R:3 comment="ZrAgHg | Alexandria via LeMat-Bulk | SCAN | PBEsol geometry" total_energy_ev_per_atom=-43.54 spacegroup="Imm2, No. 44" pbc="T T T"
Zr 0.0000 0.0000 0.0000
Ag 0.0000 0.0000 2.8872
Hg 0.0000 0.0000 5.7820